A geometry-optimized K2YP structure, computed with PBE.

```
data_K2YP
_cell_length_a 21.6951
_cell_length_b 3.8488
_cell_length_c 4.0488
_cell_angle_alpha 90.00
_cell_angle_beta 100.69
_cell_angle_gamma 90.00
_symmetry_space_group_name_H-M 'C 1 2/m 1'
_symmetry_Int_Tables_number 12
_symmetry_space_group_name_Hall '-C 2y'
loop_
_atom_site_label
_atom_site_fract_x
_atom_site_fract_y
_atom_site_fract_z
K1 0.1574 0.0000 0.1564
Y1 0.0000 0.0000 0.5000
P1 0.0000 0.5000 0.0000
```

Values from the calculation:
DOS at the Fermi energy, states/eV per cell: 3.8
Formation enthalpy at 0 K, eV per atom: -0.4616
Size of the total moment, μB per formula unit: 0.39

=====

A geometry-optimized NaTl3N structure, computed with PBE.

```
data_NaTl3N
_cell_length_a 5.1167
_cell_length_b 5.1167
_cell_length_c 5.1167
_cell_angle_alpha 90.00
_cell_angle_beta 90.00
_cell_angle_gamma 90.00
_symmetry_space_group_name_H-M 'P m -3 m'
_symmetry_Int_Tables_number 221
_symmetry_space_group_name_Hall '-P 4 2 3'
loop_
_atom_site_label
_atom_site_fract_x
_atom_site_fract_y
_atom_site_fract_z
Na1 0.0000 0.0000 0.0000
Tl1 0.0000 0.5000 0.5000
N1 0.5000 0.5000 0.5000
```

Values from the calculation:
DOS at the Fermi energy, states/eV per cell: 4.3
Polymorph energy (0 for the lowest one), eV/f.u.: 0.00
Size of the total moment, μB per formula unit: 0.00
ΔE_f (raw), eV per atom: 0.573

=====

A geometry-optimized SrAcPH structure, computed with PBE.

```
data_SrAcPH
_cell_length_a 7.2201
_cell_length_b 7.2201
_cell_length_c 7.2201
_cell_angle_alpha 90.00
_cell_angle_beta 90.00
_cell_angle_gamma 90.00
_symmetry_space_group_name_H-M 'F -4 3 m'
_symmetry_Int_Tables_number 216
_symmetry_space_group_name_Hall 'F -4 2 3'
loop_
_atom_site_label
_atom_site_fract_x
_atom_site_fract_y
_atom_site_fract_z
Sr1 0.0000 0.0000 0.0000
Ac1 0.0000 0.0000 0.5000
P1 0.2500 0.2500 0.2500
H1 0.2500 0.2500 0.7500
```

Values from the calculation:
DOS at the Fermi energy, states/eV per cell: 9.3
E_tot, eV per cell: -68.0
Size of the total moment, μB per formula unit: 0.00

=====

A geometry-optimized Mg3BiN structure, computed with PBE.

```
data_Mg3BiN
_cell_length_a 4.7643
_cell_length_b 4.7643
_cell_length_c 22.6282
_cell_angle_alpha 90.00
_cell_angle_beta 90.00
_cell_angle_gamma 90.00
_symmetry_space_group_name_H-M 'I -4 m 2'
_symmetry_Int_Tables_number 119
_symmetry_space_group_name_Hall 'I -4 -2'
loop_
_atom_site_label
_atom_site_fract_x
_atom_site_fract_y
_atom_site_fract_z
Mg1 0.0000 0.0000 0.1759
Mg2 0.0000 0.2431 0.6193
Bi1 0.0000 0.0000 0.5000
Bi2 0.0000 0.5000 0.7500
N1 0.0000 0.5000 0.1388
```

Values from the calculation:
DOS at the Fermi energy, states/eV per cell: 13.8
Size of the total moment, μB per formula unit: 0.46
ΔE_f (raw), eV per atom: 0.823

=====

A geometry-optimized NaEr6S8 structure, computed with PBE.

```
data_NaEr6S8
_cell_length_a 11.4516
_cell_length_b 11.4516
_cell_length_c 11.7207
_cell_angle_alpha 90.00
_cell_angle_beta 90.00
_cell_angle_gamma 120.00
_symmetry_space_group_name_H-M 'R -3'
_symmetry_Int_Tables_number 148
_symmetry_space_group_name_Hall '-R 3'
loop_
_atom_site_label
_atom_site_fract_x
_atom_site_fract_y
_atom_site_fract_z
Na1 0.0000 0.0000 0.0000
Er1 0.0015 0.1825 0.3727
S1 0.0000 0.0000 0.2305
S2 0.0070 0.2693 0.5899
```

Values from the calculation:
DOS at the Fermi energy, states/eV per cell: 25.0
Polymorph energy (0 for the lowest one), eV/f.u.: 2.71
Size of the total moment, μB per formula unit: 0.10
ΔE_f (raw), eV per atom: -1.782

=====

A geometry-optimized KSrAs2 structure, computed with PBE.

```
data_KSrAs2
_cell_length_a 4.8535
_cell_length_b 4.8535
_cell_length_c 4.5630
_cell_angle_alpha 90.00
_cell_angle_beta 90.00
_cell_angle_gamma 90.00
_symmetry_space_group_name_H-M 'P 4/m m m'
_symmetry_Int_Tables_number 123
_symmetry_space_group_name_Hall '-P 4 2'
loop_
_atom_site_label
_atom_site_fract_x
_atom_site_fract_y
_atom_site_fract_z
K1 0.0000 0.0000 0.0000
Sr1 0.5000 0.5000 0.0000
As1 0.0000 0.5000 0.5000
```

Values from the calculation:
DOS at the Fermi energy, states/eV per cell: 1.7
Formation enthalpy at 0 K, eV per atom: -0.4808
Polymorph energy (0 for the lowest one), eV/f.u.: 0.90
Size of the total moment, μB per formula unit: 0.00

=====

A geometry-optimized In2HgRhI structure, computed with PBE.

```
data_In2HgRhI
_cell_length_a 5.6913
_cell_length_b 5.6913
_cell_length_c 5.2009
_cell_angle_alpha 90.00
_cell_angle_beta 90.00
_cell_angle_gamma 90.00
_symmetry_space_group_name_H-M 'P 4/m m m'
_symmetry_Int_Tables_number 123
_symmetry_space_group_name_Hall '-P 4 2'
loop_
_atom_site_label
_atom_site_fract_x
_atom_site_fract_y
_atom_site_fract_z
In1 0.0000 0.5000 0.0000
Hg1 0.0000 0.0000 0.0000
Rh1 0.0000 0.0000 0.5000
I1 0.5000 0.5000 0.5000
```

Values from the calculation:
DOS at the Fermi energy, states/eV per cell: 4.1
Polymorph energy (0 for the lowest one), eV/f.u.: 3.85
Size of the total moment, μB per formula unit: 1.07
ΔE_f (raw), eV per atom: 0.566

=====

A geometry-optimized NaNdGe2Pd5 structure, computed with PBE.

```
data_NaNdGe2Pd5
_cell_length_a 4.2231
_cell_length_b 4.2231
_cell_length_c 9.3938
_cell_angle_alpha 90.00
_cell_angle_beta 90.00
_cell_angle_gamma 90.00
_symmetry_space_group_name_H-M 'P 4/m m m'
_symmetry_Int_Tables_number 123
_symmetry_space_group_name_Hall '-P 4 2'
loop_
_atom_site_label
_atom_site_fract_x
_atom_site_fract_y
_atom_site_fract_z
Na1 0.0000 0.0000 0.0000
Nd1 0.0000 0.0000 0.5000
Ge1 0.5000 0.5000 0.1347
Pd1 0.0000 0.5000 0.2723
Pd2 0.5000 0.5000 0.5000
```

Values from the calculation:
DOS at the Fermi energy, states/eV per cell: 3.4
Formation enthalpy at 0 K, eV per atom: -0.6037
Size of the total moment, μB per formula unit: 0.00

=====

A geometry-optimized BeSiSb2 structure, computed with PBE.

```
data_BeSiSb2
_cell_length_a 3.5556
_cell_length_b 3.5556
_cell_length_c 6.3247
_cell_angle_alpha 90.00
_cell_angle_beta 90.00
_cell_angle_gamma 90.00
_symmetry_space_group_name_H-M 'P 4/m m m'
_symmetry_Int_Tables_number 123
_symmetry_space_group_name_Hall '-P 4 2'
loop_
_atom_site_label
_atom_site_fract_x
_atom_site_fract_y
_atom_site_fract_z
Be1 0.0000 0.0000 0.0000
Si1 0.0000 0.0000 0.5000
Sb1 0.5000 0.5000 0.2337
```

Values from the calculation:
DOS at the Fermi energy, states/eV per cell: 1.7
Size of the total moment, μB per formula unit: 0.00
ΔE_f (raw), eV per atom: 0.633

=====

A geometry-optimized UTl2Pd2S6 structure, computed with PBE.

```
data_UTl2Pd2S6
_cell_length_a 6.2167
_cell_length_b 10.7075
_cell_length_c 8.1436
_cell_angle_alpha 90.00
_cell_angle_beta 104.58
_cell_angle_gamma 90.00
_symmetry_space_group_name_H-M 'C 1 2/m 1'
_symmetry_Int_Tables_number 12
_symmetry_space_group_name_Hall '-C 2y'
loop_
_atom_site_label
_atom_site_fract_x
_atom_site_fract_y
_atom_site_fract_z
U1 0.0000 0.0000 0.0000
Tl1 0.0000 0.1638 0.5000
Pd1 0.0000 0.3322 0.0000
S1 0.2169 0.5000 0.1852
S2 0.2313 0.1711 0.1884
```

Values from the calculation:
DOS at the Fermi energy, states/eV per cell: 15.5
Size of the total moment, μB per formula unit: 0.00
ΔE_f (raw), eV per atom: -0.597

=====

A geometry-optimized ErPuPb structure, computed with PBE.

```
data_ErPuPb
_cell_length_a 4.0513
_cell_length_b 4.0513
_cell_length_c 10.3516
_cell_angle_alpha 90.00
_cell_angle_beta 90.00
_cell_angle_gamma 90.00
_symmetry_space_group_name_H-M 'I 4 m m'
_symmetry_Int_Tables_number 107
_symmetry_space_group_name_Hall 'I 4 -2'
loop_
_atom_site_label
_atom_site_fract_x
_atom_site_fract_y
_atom_site_fract_z
Er1 0.0000 0.0000 0.0000
Pu1 0.0000 0.0000 0.3134
Pb1 0.0000 0.0000 0.6470
```

Values from the calculation:
DOS at the Fermi energy, states/eV per cell: 15.5
Formation enthalpy at 0 K, eV per atom: -0.0848
Polymorph energy (0 for the lowest one), eV/f.u.: 0.61
Size of the total moment, μB per formula unit: 7.01

=====

A geometry-optimized ScZnTe2 structure, computed with PBE.

```
data_ScZnTe2
_cell_length_a 7.3608
_cell_length_b 7.2269
_cell_length_c 3.7755
_cell_angle_alpha 90.00
_cell_angle_beta 102.14
_cell_angle_gamma 90.00
_symmetry_space_group_name_H-M 'C 1 2/m 1'
_symmetry_Int_Tables_number 12
_symmetry_space_group_name_Hall '-C 2y'
loop_
_atom_site_label
_atom_site_fract_x
_atom_site_fract_y
_atom_site_fract_z
Sc1 0.0000 0.0000 0.0000
Zn1 0.0000 0.5000 0.0000
Te1 0.2500 0.2500 0.5000
```

Values from the calculation:
DOS at the Fermi energy, states/eV per cell: 3.3
Size of the total moment, μB per formula unit: 0.00
ΔE_f (raw), eV per atom: -0.413

=====

A geometry-optimized AcPd2Pb structure, computed with PBE.

```
data_AcPd2Pb
_cell_length_a 5.9691
_cell_length_b 4.4387
_cell_length_c 7.5064
_cell_angle_alpha 90.00
_cell_angle_beta 90.00
_cell_angle_gamma 90.00
_symmetry_space_group_name_H-M 'P m m a'
_symmetry_Int_Tables_number 51
_symmetry_space_group_name_Hall '-P 2a 2a'
loop_
_atom_site_label
_atom_site_fract_x
_atom_site_fract_y
_atom_site_fract_z
Ac1 0.2500 0.0000 0.2474
Pd1 0.0000 0.5000 0.0000
Pd2 0.2500 0.0000 0.8462
Pb1 0.2500 0.5000 0.6293
```

Values from the calculation:
DOS at the Fermi energy, states/eV per cell: 4.5
Formation enthalpy at 0 K, eV per atom: -0.7023
Size of the total moment, μB per formula unit: 0.00

=====

A geometry-optimized CoPtSe structure, computed with PBE.

```
data_CoPtSe
_cell_length_a 11.6913
_cell_length_b 3.0390
_cell_length_c 5.2258
_cell_angle_alpha 90.00
_cell_angle_beta 90.00
_cell_angle_gamma 90.00
_symmetry_space_group_name_H-M 'A m m 2'
_symmetry_Int_Tables_number 38
_symmetry_space_group_name_Hall 'A 2 -2'
loop_
_atom_site_label
_atom_site_fract_x
_atom_site_fract_y
_atom_site_fract_z
Co1 0.0000 0.0000 0.0000
Co2 0.5000 0.0000 0.0081
Pt1 0.3385 0.0000 0.6734
Se1 0.1407 0.0000 0.3339
```

Values from the calculation:
DOS at the Fermi energy, states/eV per cell: 13.8
Polymorph energy (0 for the lowest one), eV/f.u.: 0.10
Size of the total moment, μB per formula unit: 1.00
ΔE_f (raw), eV per atom: 0.173

=====

A geometry-optimized IrPb2 structure, computed with PBE.

```
data_IrPb2
_cell_length_a 3.2525
_cell_length_b 3.4699
_cell_length_c 26.7537
_cell_angle_alpha 90.00
_cell_angle_beta 90.00
_cell_angle_gamma 90.00
_symmetry_space_group_name_H-M 'I m m a'
_symmetry_Int_Tables_number 74
_symmetry_space_group_name_Hall '-I 2b 2'
loop_
_atom_site_label
_atom_site_fract_x
_atom_site_fract_y
_atom_site_fract_z
Ir1 0.0000 0.2500 0.1248
Pb1 0.0000 0.2500 0.5596
Pb2 0.0000 0.2500 0.6894
```

Values from the calculation:
DOS at the Fermi energy, states/eV per cell: 8.9
Formation enthalpy at 0 K, eV per atom: 0.2291
Size of the total moment, μB per formula unit: 0.00

=====

A geometry-optimized Cr2AsPb structure, computed with PBE.

```
data_Cr2AsPb
_cell_length_a 3.0606
_cell_length_b 3.0606
_cell_length_c 28.7709
_cell_angle_alpha 90.00
_cell_angle_beta 90.00
_cell_angle_gamma 120.00
_symmetry_space_group_name_H-M 'R 3 m'
_symmetry_Int_Tables_number 160
_symmetry_space_group_name_Hall 'R 3 -2"'
loop_
_atom_site_label
_atom_site_fract_x
_atom_site_fract_y
_atom_site_fract_z
Cr1 0.0000 0.0000 0.0000
Cr2 0.0000 0.0000 0.2740
As1 0.0000 0.0000 0.7309
Pb1 0.0000 0.0000 0.5175
```

Values from the calculation:
DOS at the Fermi energy, states/eV per cell: 7.0
Formation enthalpy at 0 K, eV per atom: 0.4325
Polymorph energy (0 for the lowest one), eV/f.u.: 0.85
Size of the total moment, μB per formula unit: 0.73

=====

A geometry-optimized CsAc2W2N6 structure, computed with PBE.

```
data_CsAc2W2N6
_cell_length_a 7.0665
_cell_length_b 7.0751
_cell_length_c 7.4398
_cell_angle_alpha 62.82
_cell_angle_beta 62.87
_cell_angle_gamma 61.43
_symmetry_space_group_name_H-M 'P -1'
_symmetry_Int_Tables_number 2
_symmetry_space_group_name_Hall '-P 1'
loop_
_atom_site_label
_atom_site_fract_x
_atom_site_fract_y
_atom_site_fract_z
Cs1 0.0000 0.0000 0.0000
Ac1 0.3181 0.3180 0.2885
W1 0.3814 0.3805 0.6879
N1 0.1031 0.5102 0.6455
N2 0.4273 0.4254 0.8915
N3 0.4884 0.8969 0.3556
```

Values from the calculation:
DOS at the Fermi energy, states/eV per cell: 4.7
Size of the total moment, μB per formula unit: 1.06
ΔE_f (raw), eV per atom: -0.565

=====

A geometry-optimized AsP2Pb structure, computed with PBE.

```
data_AsP2Pb
_cell_length_a 9.9053
_cell_length_b 3.3800
_cell_length_c 5.7831
_cell_angle_alpha 90.00
_cell_angle_beta 115.47
_cell_angle_gamma 90.00
_symmetry_space_group_name_H-M 'C 1 m 1'
_symmetry_Int_Tables_number 8
_symmetry_space_group_name_Hall 'C -2y'
loop_
_atom_site_label
_atom_site_fract_x
_atom_site_fract_y
_atom_site_fract_z
As1 0.0000 0.0000 0.0000
P1 0.2211 0.5000 0.2044
P2 0.3906 0.0000 0.2196
Pb1 0.1656 0.0000 0.6060
```

Values from the calculation:
DOS at the Fermi energy, states/eV per cell: 3.4
Formation enthalpy at 0 K, eV per atom: 0.2622
Polymorph energy (0 for the lowest one), eV/f.u.: 0.25
Size of the total moment, μB per formula unit: 0.00

=====

A geometry-optimized Pm5Y2Ho structure, computed with PBE.

```
data_Pm5Y2Ho
_cell_length_a 6.4361
_cell_length_b 25.6799
_cell_length_c 6.6222
_cell_angle_alpha 90.00
_cell_angle_beta 94.62
_cell_angle_gamma 90.00
_symmetry_space_group_name_H-M 'C 1 2/c 1'
_symmetry_Int_Tables_number 15
_symmetry_space_group_name_Hall '-C 2yc'
loop_
_atom_site_label
_atom_site_fract_x
_atom_site_fract_y
_atom_site_fract_z
Pm1 0.0000 0.1229 0.2500
Pm2 0.1873 0.3156 0.9946
Pm3 0.2430 0.4013 0.3169
Y1 0.0000 0.0000 0.0000
Y2 0.2500 0.2500 0.5000
Ho1 0.0000 0.4529 0.7500
```

Values from the calculation:
DOS at the Fermi energy, states/eV per cell: 46.3
Formation enthalpy at 0 K, eV per atom: 0.2765
Polymorph energy (0 for the lowest one), eV/f.u.: 2.09
Size of the total moment, μB per formula unit: 0.00

=====

A geometry-optimized Rb2SeBr6 structure, computed with PBE.

```
data_Rb2SeBr6
_cell_length_a 13.0307
_cell_length_b 7.5546
_cell_length_c 6.9029
_cell_angle_alpha 90.00
_cell_angle_beta 91.70
_cell_angle_gamma 90.00
_symmetry_space_group_name_H-M 'C 1 2/m 1'
_symmetry_Int_Tables_number 12
_symmetry_space_group_name_Hall '-C 2y'
loop_
_atom_site_label
_atom_site_fract_x
_atom_site_fract_y
_atom_site_fract_z
Rb1 0.1692 0.0000 0.1995
Se1 0.0000 0.5000 0.0000
Br1 0.0795 0.2554 0.7839
Br2 0.1663 0.5000 0.2205
```

Values from the calculation:
DOS at the Fermi energy, states/eV per cell: 0.0
Size of the total moment, μB per formula unit: 0.00
ΔE_f (raw), eV per atom: -0.875